The following is a DFT calculation (PBE-GGA) of an optimized crystal structure of Sr2Zn2Ga.

Values from the calculation:
DOS at the Fermi energy in states/eV/f.u.: 3.2
Volume in A^3/atom: 27.67
Electronic total energy in eV per atom: -1.9787
Energy relative to the elements in eV per atom: -0.19

a = 7.8162 Å, b = 7.8162 Å, c = 4.5294 Å
α = 90.00°, β = 90.00°, γ = 90.00°
With the nearest neighbours (Å) after each atom.
Sites, in units of the cell vectors:
Sr 0.1867 0.3133 0.0000  6 Zn 3.15-3.32
Sr 0.3133 0.8133 0.0000  6 Zn 3.15-3.32
Sr 0.6867 0.1867 0.0000  6 Zn 3.15-3.32
Sr 0.8133 0.6867 0.0000  6 Zn 3.15-3.32
Zn 0.1151 0.6151 0.5000  1 Zn 2.54
Zn 0.3849 0.1151 0.5000  1 Zn 2.54
Zn 0.6151 0.8849 0.5000  1 Zn 2.54
Zn 0.8849 0.3849 0.5000  1 Zn 2.54
Ga 0.0000 0.0000 0.5000  4 Zn 3.14
Ga 0.5000 0.5000 0.5000  4 Zn 3.14